A plane-wave DFT calculation with PBE was carried out for crystalline BaTiP2Ru at its relaxed geometry.

Cell lengths 3.9427, 3.9427, 13.3681 Å; angles 90.00, 90.00, 90.00 degrees
Space group I-4m2 (No. 119)
Unique sites:
Ba1 0.0000 0.0000 0.0000 [2 per cell]
Ti1 0.0000 0.5000 0.2500 [2 per cell]
P1 0.0000 0.0000 0.3577 [4 per cell]
Ru1 0.0000 0.5000 0.7500 [2 per cell]

Values from the calculation:
- final energy (eV/atom) = -6.9529
- energy of formation (eV per atom) = -0.970